[1]
DFT (PBE) results for a relaxed LiCu2Ag crystal.

extended XYZ file:
```
4
Lattice="4.6183 -0.0346 0.0261 3.7839 2.6481 0.0261 0.8715 0.2711 4.5408" Properties=species:S:1:pos:R:3 pbc="T T T"
Ag 6.9058 2.1480 3.4092
Cu 8.3783 2.6061 0.1715
Cu 2.3682 0.7366 1.0689
Li 4.6605 1.4496 2.2922
```

ΔH_f (0 K)	-0.008	eV per atom
energy above the most stable polymorph in this dataset	26	meV/atom
D(E_F)	0.93	states/eV/cell

[2]
DFT (PBE) results for a relaxed Li7CuAg3 crystal.

extended XYZ file:
```
22
Lattice="-1.3907 -2.4686 0.3378 9.7771 -3.4952 2.6559 -2.2087 2.8743 11.9134" Properties=species:S:1:pos:R:3 pbc="T T T"
Li 4.1801 -1.4890 6.3278
Li -0.0190 -1.3520 2.0928
Li 1.9976 -1.6006 8.5793
Li 6.7007 -2.7895 7.2006
Li 7.3901 -3.6866 3.4824
Li 1.3394 -0.7440 12.1296
Li 6.1967 -1.7375 12.8143
Li 4.1349 -0.8603 10.7364
Li 6.7004 -2.3929 10.0979
Li 4.8383 -2.3455 2.7775
Li -0.5227 -0.6967 4.8092
Li -1.2123 0.5970 11.4247
Li -0.5230 -0.3001 7.7065
Li 2.0428 -2.2293 4.1707
Ag 3.4899 -1.7863 13.3666
Ag 2.6878 -1.3033 1.5405
Ag 4.3473 -2.9020 8.7421
Ag 1.8304 -0.1876 6.1650
Ag 5.0421 -3.7912 5.1036
Ag 1.1356 0.7017 9.8035
Cu 7.3372 -4.9864 5.8174
Cu -1.1595 1.8969 9.0897
```

ΔH_f (0 K)	-0.112	eV per atom
D(E_F)	5.81	states/eV/cell

[3]
DFT (PBE) results for a relaxed LiCuAg3 crystal.

extended XYZ file:
```
5
Lattice="4.8591 0.0000 0.0000 0.0000 4.8591 0.0000 0.0000 0.0000 4.8591" Properties=species:S:1:pos:R:3 pbc="T T T"
Ag 0.0000 2.4296 0.0000
Ag 2.4296 0.0000 0.0000
Ag 0.0000 0.0000 2.4296
Cu 0.0000 0.0000 0.0000
Li 2.4296 2.4296 2.4296
```

ΔH_f (0 K)	0.379	eV per atom
energy above the most stable polymorph in this dataset	431	meV/atom
D(E_F)	1.41	states/eV/cell

[4]
DFT (PBE) results for a relaxed LiCuAg3 crystal.

extended XYZ file:
```
10
Lattice="-1.4627 2.2533 -1.0205 -6.7285 -1.9299 -2.4890 -4.4126 -4.3133 8.2356" Properties=species:S:1:pos:R:3 pbc="T T T"
Cu -3.4172 -2.9875 5.5560
Cu -3.6378 -1.0023 2.4019
Ag -8.7622 -2.7005 2.0779
Ag -4.8845 -1.1425 0.0163
Ag -11.7949 -4.9017 5.1947
Ag -8.8966 -4.7708 5.4495
Ag -6.4827 -0.9630 2.3677
Ag -3.4510 1.2435 -0.7491
Li -7.4137 -2.3954 4.6460
Li -7.8305 -1.2642 -0.2011
```

ΔH_f (0 K)	-0.002	eV per atom
energy above the most stable polymorph in this dataset	51	meV/atom
D(E_F)	3.24	states/eV/cell

[5]
DFT (PBE) results for a relaxed LiCuAg4 crystal.

extended XYZ file:
```
6
Lattice="2.8331 -0.0064 -0.0020 0.0098 4.7647 -0.0028 0.0072 0.0047 7.5860" Properties=species:S:1:pos:R:3 pbc="T T T"
Ag 1.4243 4.7503 1.4322
Ag 1.4257 4.7537 6.1157
Ag 0.0143 2.3724 5.1855
Ag 0.0137 2.3702 2.3717
Li 1.4577 2.3739 7.5721
Cu 2.8384 4.7434 3.7716
```

ΔH_f (0 K)	0.032	eV per atom
energy above the most stable polymorph in this dataset	3	meV/atom
D(E_F)	1.26	states/eV/cell

[6]
DFT (PBE) results for a relaxed LiCu2Ag2 crystal.

extended XYZ file:
```
5
Lattice="-2.1000 1.5172 -2.9772 -2.3073 -3.2018 -0.0042 -5.7436 1.7037 2.3037" Properties=species:S:1:pos:R:3 pbc="T T T"
Ag -5.0236 1.1893 -1.0821
Ag -5.1273 -1.1702 0.4044
Cu -7.2422 0.3543 0.0572
Cu -2.9087 -0.3352 -0.7350
Li 0.0000 0.0000 0.0000
```

ΔH_f (0 K)	0.197	eV per atom
energy above the most stable polymorph in this dataset	153	meV/atom
D(E_F)	1.58	states/eV/cell